{"formula": "MnAg2PdO", "functional": "GGA+U", "state": "relaxed", "cell": [[4.5922, 0.0000, 0.0000], [0.0000, 3.9349, 0.0000], [0.0000, 0.0000, 4.5922]], "species": ["Pd", "Mn", "Ag", "Ag", "O"], "fractional_positions": [[0.5000, 0.5000, 0.5000], [0.0000, 0.5000, 0.0000], [0.0000, 0.0000, 0.5000], [0.5000, 0.0000, 0.0000], [0.0000, 0.0000, 0.0000]], "space_group": "P4/mmm (123)", "magmom_total_mub_per_fu": 4.751, "energy_ev_per_cell": -24.09, "n_ef_per_ev_cell": 1.97}